A geometry-optimized LiNbHg3 structure, computed with PBE.

a = 5.4775 Å, b = 5.4775 Å, c = 5.4775 Å
α = 90.00°, β = 90.00°, γ = 90.00°
With the nearest neighbours (Å) after each atom.
Space group Pm-3m (No. 221)
Unique sites:
Li: 0.0000 0.0000 0.0000 (multiplicity 1)  12 Hg 3.87
Nb: 0.5000 0.5000 0.5000 (multiplicity 1)  6 Hg 2.74
Hg: 0.0000 0.5000 0.5000 (multiplicity 3)  2 Nb 2.74

Computed properties:
Energy: -1.98 eV/atom
Calculated volume: 164.3 Å³ per cell
ΔH_f (0 K): 0.5938 eV/atom
Magnetization: 0.358 μB per atom


A geometry-optimized Mg2SnBAu structure, computed with PBE.

a = 5.3161 Å, b = 5.3161 Å, c = 5.2323 Å
α = 90.00°, β = 90.00°, γ = 90.00°
With the nearest neighbours (Å) after each atom.
Space group P4/mmm (No. 123)
Unique sites:
Mg: 0.0000 0.5000 0.0000 (multiplicity 2)  2 Sn 2.66
Sn: 0.0000 0.0000 0.0000 (multiplicity 1)  2 Au 2.62, 4 Mg 2.66
B: 0.5000 0.5000 0.5000 (multiplicity 1)  8 Mg 3.73, 4 Au 3.76
Au: 0.0000 0.0000 0.5000 (multiplicity 1)  2 Sn 2.62

Computed properties:
Energy: -2.21 eV/atom
Calculated volume: 147.9 Å³ per cell
ΔH_f (0 K): 1.2158 eV/atom
Magnetization: 0.063 μB per atom


A geometry-optimized ZrGa6Fe5Co structure, computed with PBE.

a = 5.0480 Å, b = 8.3374 Å, c = 8.6323 Å
α = 90.00°, β = 90.00°, γ = 90.00°
With the nearest neighbours (Å) after each atom.
Space group Imm2 (No. 44)
Unique sites:
Zr: 0.0000 0.0000 0.0000 (multiplicity 2)  12 Ga 3.02-3.32, 7 Fe 3.03-3.27, 1 Co 3.14
Ga: 0.0000 0.3007 0.5066 (multiplicity 4)  3 Fe 2.52-2.79, 4 Ga 2.53-2.54, 1 Co 2.74
Ga: 0.2482 0.2446 0.7551 (multiplicity 8)  5 Fe 2.42-2.69, 4 Ga 2.51-2.54, 1 Co 2.61
Fe: 0.0000 0.0000 0.3640 (multiplicity 2)  1 Co 2.35
Fe: 0.0000 0.3632 0.0065 (multiplicity 4)  1 Fe 2.28
Fe: 0.0000 0.5000 0.2864 (multiplicity 2)  6 Ga 2.42-2.52, 2 Fe 2.67
Fe: 0.0000 0.5000 0.7417 (multiplicity 2)  6 Ga 2.47-2.62, 4 Fe 2.55-2.74
Co: 0.0000 0.0000 0.6359 (multiplicity 2)  1 Fe 2.35, 4 Ga 2.61

Computed properties:
Energy: -5.91 eV/atom
Calculated volume: 363.3 Å³ per cell
ΔH_f (0 K): -0.0563 eV/atom
Magnetization: 0.922 μB per atom


A geometry-optimized Ni2Mo3Pt2 structure, computed with PBE.

a = 10.5772 Å, b = 2.7504 Å, c = 7.7816 Å
α = 90.00°, β = 114.88°, γ = 90.00°
With the nearest neighbours (Å) after each atom.
Space group C2/m (No. 12)
Unique sites:
Ni: 0.1610 0.0000 0.3896 (multiplicity 4)  2 Ni 2.38, 4 Mo 2.50-2.60, 2 Pt 2.66
Mo: 0.0000 0.5000 0.5000 (multiplicity 2)  4 Ni 2.60, 4 Mo 2.68-2.75
Mo: 0.0242 0.5000 0.8571 (multiplicity 4)  4 Mo 2.48-2.75, 2 Ni 2.50, 2 Pt 2.73
Pt: 0.2293 0.0000 0.8081 (multiplicity 4)  2 Ni 2.66, 6 Mo 2.73-2.98, 2 Pt 2.75

Computed properties:
Energy: -7.98 eV/atom
Calculated volume: 205.4 Å³ per cell
ΔH_f (0 K): 0.0433 eV/atom
Magnetization: 0.000 μB per atom